# ZrAgTe2N, optimized geometry, DFT PBE-GGA
# Volume (A^3/atom): 23.99
# E_form (uncorrected) (eV/atom): 0.8584
# Space-group type: P4/mmm, No. 123
data_ZrAgTe2N
_space_group_name_H-M_alt 'P 1'
_space_group_IT_number 1
_cell_length_a 5.515
_cell_length_b 5.515
_cell_length_c 3.943
_cell_angle_alpha 90.00
_cell_angle_beta 90.00
_cell_angle_gamma 90.00
loop_
_space_group_symop_operation_xyz
'x,y,z'
loop_
_atom_site_label
_atom_site_type_symbol
_atom_site_fract_x
_atom_site_fract_y
_atom_site_fract_z
Te1 Te 0.000 0.500 0.000
Te2 Te 0.500 0.000 0.000
Zr1 Zr 0.500 0.500 0.500
Ag1 Ag 0.000 0.000 0.000
N1 N 0.000 0.000 0.500

=====

# ZrAgTe2N, optimized geometry, DFT PBE-GGA
# Volume (A^3/atom): 27.06
# E_form (uncorrected) (eV/atom): 0.1393
# Space-group type: P4/mmm, No. 123
data_ZrAgTe2N
_space_group_name_H-M_alt 'P 1'
_space_group_IT_number 1
_cell_length_a 5.839
_cell_length_b 5.839
_cell_length_c 3.969
_cell_angle_alpha 90.00
_cell_angle_beta 90.00
_cell_angle_gamma 90.00
loop_
_space_group_symop_operation_xyz
'x,y,z'
loop_
_atom_site_label
_atom_site_type_symbol
_atom_site_fract_x
_atom_site_fract_y
_atom_site_fract_z
Te1 Te 0.000 0.500 0.000
Te2 Te 0.500 0.000 0.000
Zr1 Zr 0.000 0.000 0.000
Ag1 Ag 0.500 0.500 0.500
N1 N 0.000 0.000 0.500

=====

# ThAgN, optimized geometry, DFT PBE-GGA
# Volume (A^3/atom): 21.20
# E_form (uncorrected) (eV/atom): -1.0320
# Space-group type: P2_1/m, No. 11
data_ThAgN
_space_group_name_H-M_alt 'P 1'
_space_group_IT_number 1
_cell_length_a 4.094
_cell_length_b 4.092
_cell_length_c 8.615
_cell_angle_alpha 90.01
_cell_angle_beta 118.19
_cell_angle_gamma 90.00
loop_
_space_group_symop_operation_xyz
'x,y,z'
loop_
_atom_site_label
_atom_site_type_symbol
_atom_site_fract_x
_atom_site_fract_y
_atom_site_fract_z
Ag1 Ag 0.178 0.750 0.429
Ag2 Ag 0.822 0.250 0.571
N1 N 0.250 0.750 0.000
N2 N 0.750 0.250 0.000
Th1 Th 0.600 0.750 0.849
Th2 Th 0.400 0.250 0.151

=====

# Th3AgN, optimized geometry, DFT PBE-GGA
# Volume (A^3/atom): 24.69
# E_form (uncorrected) (eV/atom): -0.5639
# Space-group type: Pm-3m, No. 221
data_Th3AgN
_space_group_name_H-M_alt 'P 1'
_space_group_IT_number 1
_cell_length_a 4.979
_cell_length_b 4.979
_cell_length_c 4.979
_cell_angle_alpha 90.00
_cell_angle_beta 90.00
_cell_angle_gamma 90.00
loop_
_space_group_symop_operation_xyz
'x,y,z'
loop_
_atom_site_label
_atom_site_type_symbol
_atom_site_fract_x
_atom_site_fract_y
_atom_site_fract_z
Ag1 Ag 0.500 0.500 0.500
Th1 Th 0.000 0.500 0.000
Th2 Th 0.000 0.000 0.500
Th3 Th 0.500 0.000 0.000
N1 N 0.000 0.000 0.000